{"formula": "NaTlGe2", "functional": "PBE", "state": "relaxed", "magnetic_moment_mub_per_cell": 0.00, "spacegroup": "I-42d (122)", "crystal_system": "tetragonal", "formation_energy_ev_per_fu": 1.097, "dft_energy_ev_per_atom": -2.96, "cell": [[-3.243, -3.630, 6.673], [-3.989, -5.361, -4.856], [-1.332, -6.308, 1.033]], "species": ["Ge", "Tl", "Ge", "Na", "Ge", "Ge", "Tl", "Na"], "fractional_positions": [[0.375, 0.348, 0.750], [0.750, 0.250, 0.500], [0.098, 0.625, 0.250], [0.500, 0.500, 0.000], [0.875, 0.902, 0.750], [0.652, 0.125, 0.250], [0.000, 0.000, 0.000], [0.250, 0.750, 0.500]]}

{"formula": "CeCoMoP2", "functional": "PBE", "state": "relaxed", "magnetic_moment_mub_per_cell": 0.35, "spacegroup": "I-4m2 (119)", "crystal_system": "tetragonal", "formation_energy_ev_per_fu": -4.162, "dft_energy_ev_per_atom": -7.77, "cell": [[-0.200, -3.956, 0.666], [1.640, 0.528, 3.628], [-5.342, 2.286, -0.141]], "species": ["Co", "P", "Mo", "Ce", "P"], "fractional_positions": [[0.750, 0.250, 0.500], [0.633, 0.633, 0.266], [0.250, 0.750, 0.500], [0.000, 0.000, 0.000], [0.367, 0.367, 0.734]]}

| no. | V (Å³/f.u.) |
| --- | --- |
| 1 | 99.6 |
| 2 | 81.8 |